{
  "formula": "BeTc2As",
  "functional": "GGA-PBE",
  "state": "relaxed",
  "cell": [[-2.746, -1.584, 2.315], [-1.424, -0.883, -2.293], [2.363, -4.364, -0.184]],
  "species": ["Be", "As", "Tc", "Tc"],
  "fractional_positions": [[0.500, 0.750, 0.750], [0.500, 0.250, 0.250], [0.000, 0.020, 0.983], [0.000, 0.480, 0.517]],
  "delta_e_f_ev_per_atom": 0.175,
  "e_above_lowest_polymorph_ev_per_atom": 0.340,
  "mass_density_kg_m3": 8414
}